Record 1
Below is Sr3Au2 after structural relaxation, with properties calculated at the PBE-GGA level.

## Properties
As for the formation energy from the elements: -0.63 eV per atom. The value obtained for the distance to the lowest polymorph of the same formula is 21 kJ/mol of formula units. The calculation puts the uncorrected energy at -2.95 eV/atom. The value obtained for the magnetization is 0.000 μB per atom.

Unit cell a=7.8080 b=7.8080 c=21.1572 alpha=90.00 beta=90.00 gamma=120.00
Space group R-3c (No. 167, hexagonal axes)
Inequivalent atoms, fractional coordinates:
1 Sr 0.0000 0.3544 0.2500 x18
2 Au 0.0000 0.0000 0.1764 x12

---

Record 2
Below is Ac6P2Se3I after structural relaxation, with properties calculated at the PBE-GGA level.

## Properties
The uncorrected formation energy is -1.6064 eV/atom. The calculation puts the uncorrected energy at -5.56 eV/atom. The value obtained for the magnetization is 0.000 μB per atom.

Unit cell a=19.5269 b=4.4691 c=9.0824 alpha=90.00 beta=102.37 gamma=90.00
Space group C2/m (No. 12)
Inequivalent atoms, fractional coordinates:
1 Ac 0.0082 0.0000 0.2741 x4
2 Ac 0.1712 0.5000 0.5740 x4
3 Ac 0.1764 0.5000 0.1056 x4
4 P 0.1680 0.0000 0.3344 x4
5 Se 0.0000 0.5000 0.5000 x2
6 Se 0.1607 0.0000 0.8344 x4
7 I 0.0000 0.5000 0.0000 x2

---

Record 3
Below is Y2NiTe after structural relaxation, with properties calculated at the PBE-GGA level.

## Properties
The uncorrected formation energy is -0.7938 eV/atom. The calculation puts the uncorrected energy at -6.26 eV/atom. The value obtained for the magnetization is 0.000 μB per atom.

Unit cell a=4.0594 b=4.0594 c=21.7850 alpha=90.00 beta=90.00 gamma=120.00
Space group R-3m (No. 166, hexagonal axes)
Inequivalent atoms, fractional coordinates:
1 Y 0.0000 0.0000 0.2362 x6
2 Ni 0.0000 0.0000 0.5000 x3
3 Te 0.0000 0.0000 0.0000 x3